Pb4SeI6 | PBE-GGA | relaxed

```
Pb4SeI6
1.0
-1.240 -7.287 -2.553
3.698 2.771 -9.705
9.948 -2.746 3.006
Pb I Se
8 12 2
Cartesian
0.089 -4.193 -4.125 Pb
9.087 -1.910 -3.035 Pb
7.063 -4.468 1.416 Pb
6.713 -5.346 -7.883 Pb
4.137 -0.543 -4.531 Pb
4.873 -6.725 -3.054 Pb
1.947 -2.801 -9.001 Pb
2.066 -3.088 -0.095 Pb
4.236 -5.706 -0.015 I
1.346 -1.568 -5.887 I
2.797 0.005 -1.373 I
4.922 -2.500 -7.231 I
10.849 0.019 -5.326 I
4.856 -2.063 1.262 I
0.726 -5.212 -7.164 I
8.999 -3.626 -5.999 I
7.484 -4.762 -2.021 I
3.406 -3.636 -3.253 I
8.667 -1.616 0.401 I
4.979 1.640 -7.100 I
6.823 0.012 -3.349 Se
-0.620 -3.643 -1.276 Se
```

Results
Formation energy (no corrections), eV/atom: -0.543
Uncorrected energy, eV/atom: -3.054
SG: P4_2/nmc (137)
DOS at the Fermi energy, states/eV/f.u.: 0.0